Record 1
ScTiNi3 | SCAN | PBEsol geometry

a b c (Å): 4.303 4.303 4.303
angles (deg): 90.00 90.00 90.00
Atoms (fractional coordinates):
Sc 0.000 0.000 0.000
Ti 0.500 0.500 0.500
Ni 0.000 0.000 0.500
Ni 0.000 0.500 0.000
Ni 0.500 0.000 0.000

As for the calculated total energy: -74.43 eV/cell. The value obtained for the total moment is 1.87 Bohr magnetons per cell. Its formation enthalpy at 0 K is 0.87 eV per atom. Its symmetry is No. 221.

Record 2
Sc2TlNi | SCAN | PBEsol geometry

a b c (Å): 3.229 3.229 7.182
angles (deg): 90.00 90.00 90.00
Atoms (fractional coordinates):
Sc 0.000 0.000 0.207
Sc 0.000 0.000 0.793
Tl 0.500 0.500 0.500
Ni 0.500 0.500 0.000

As for the calculated total energy: -119.00 eV/cell. The value obtained for the total moment is 0.00 Bohr magnetons per cell. Its formation enthalpy at 0 K is -0.50 eV per atom. Its symmetry is No. 123.

Record 3
Sc2TlNi | SCAN | PBEsol geometry

a b c (Å): 5.290 5.290 5.290
angles (deg): 134.51 134.51 66.29
Atoms (fractional coordinates):
Sc 0.000 0.000 0.000
Sc 0.750 0.250 0.500
Tl 0.500 0.500 0.000
Ni 0.250 0.750 0.500

As for the calculated total energy: -117.92 eV/cell. The value obtained for the total moment is 0.00 Bohr magnetons per cell. Its formation enthalpy at 0 K is -0.23 eV per atom. Its symmetry is No. 119.

Record 4
ScTlNi | SCAN | PBEsol geometry

a b c (Å): 4.453 4.453 4.453
angles (deg): 60.00 60.00 60.00
Atoms (fractional coordinates):
Sc 0.000 0.000 0.000
Tl 0.750 0.750 0.750
Ni 0.500 0.500 0.500

As for the calculated total energy: -102.28 eV/cell. The value obtained for the total moment is 0.01 Bohr magnetons per cell. Its formation enthalpy at 0 K is 0.16 eV per atom. Its symmetry is No. 216.

Record 5
Sc2TlNi | SCAN | PBEsol geometry

a b c (Å): 8.280 8.280 8.280
angles (deg): 23.91 23.91 23.91
Atoms (fractional coordinates):
Sc 0.232 0.232 0.232
Sc 0.768 0.768 0.768
Tl 0.000 0.000 0.000
Ni 0.500 0.500 0.500

As for the calculated total energy: -118.21 eV/cell. The value obtained for the total moment is 0.00 Bohr magnetons per cell. Its formation enthalpy at 0 K is -0.30 eV per atom. Its symmetry is No. 166.

Record 6
ScNi6W | SCAN | PBEsol geometry

a b c (Å): 6.271 6.271 10.232
angles (deg): 90.00 90.00 109.44
Atoms (fractional coordinates):
Sc 0.000 0.000 0.250
Sc 0.000 0.000 0.750
Sc 0.249 0.751 0.000
Sc 0.751 0.249 0.000
Ni 0.000 0.000 0.000
Ni 0.000 0.000 0.500
Ni 0.130 0.384 0.379
Ni 0.130 0.384 0.621
Ni 0.131 0.379 0.129
Ni 0.131 0.379 0.871
Ni 0.254 0.746 0.257
Ni 0.254 0.746 0.743
Ni 0.379 0.131 0.129
Ni 0.379 0.131 0.871
Ni 0.384 0.130 0.379
Ni 0.384 0.130 0.621
Ni 0.500 0.500 0.000
Ni 0.500 0.500 0.500
Ni 0.616 0.870 0.379
Ni 0.616 0.870 0.621
Ni 0.621 0.869 0.129
Ni 0.621 0.869 0.871
Ni 0.746 0.254 0.257
Ni 0.746 0.254 0.743
Ni 0.869 0.621 0.129
Ni 0.869 0.621 0.871
Ni 0.870 0.616 0.379
Ni 0.870 0.616 0.621
W 0.246 0.754 0.500
W 0.500 0.500 0.247
W 0.500 0.500 0.753
W 0.754 0.246 0.500

As for the calculated total energy: -729.50 eV/cell. The value obtained for the total moment is 0.02 Bohr magnetons per cell. Its formation enthalpy at 0 K is -0.18 eV per atom. Its symmetry is No. 65.

Record 7
Sc2NiW | SCAN | PBEsol geometry

a b c (Å): 2.923 2.923 7.703
angles (deg): 90.00 90.00 90.00
Atoms (fractional coordinates):
Sc 0.000 0.000 0.219
Sc 0.000 0.000 0.781
Ni 0.500 0.500 0.000
W 0.500 0.500 0.500

For the energy above the lowest structure with this stoichiometry, the calculation gives 0.000 eV/atom. As for the calculated total energy: -114.39 eV/cell. The value obtained for the total moment is 0.00 Bohr magnetons per cell. Its formation enthalpy at 0 K is -0.01 eV per atom. Its symmetry is No. 123.

Record 8
Sc2NiW | SCAN | PBEsol geometry

a b c (Å): 5.355 5.355 4.969
angles (deg): 113.70 113.70 31.38
Atoms (fractional coordinates):
Sc 0.000 0.000 0.000
Sc 0.199 0.199 0.632
Ni 0.471 0.471 0.544
W 0.774 0.774 0.186

For the energy above the lowest structure with this stoichiometry, the calculation gives 0.010 eV/atom. As for the calculated total energy: -114.34 eV/cell. The value obtained for the total moment is 0.00 Bohr magnetons per cell. Its formation enthalpy at 0 K is 0.00 eV per atom. Its symmetry is No. 8.

Question: Look up the calculated total energy of the second one.
Answer: -119.00 eV/cell

Question: Which of these has the highest calculated total energy?
Answer: ScTiNi3

Question: The highest total moment belongs to which entry?
Answer: ScTiNi3

Question: Number 5 is which compound?
Answer: Sc2TlNi